The following is a DFT calculation (PBE) of a geometry-optimized HoTm2Sc structure.

Cell: 3.4800 3.4800 11.2034 Å, 81.07 81.07 60.00°
Atoms (fractional coordinates):
Tm: 0.0809 0.0809 0.7574
Tm: 0.2524 0.2524 0.2427
Sc: 0.6662 0.6662 0.0014
Ho: 0.5005 0.5005 0.4985

Computed properties:
**Calculated total energy**: -4.93 eV/atom
**Relative energy among the computed polymorphs**: 0.006 eV/atom
**Energy relative to the elements**: 12 kJ/mol of formula units